# PmHo7Th3 | Alexandria via LeMat-Bulk | GGA-PBE | relaxed
# DOS at the Fermi energy in states/eV/cell: 17.4
# Excess energy over the best structure of this formula in the dataset in meV/atom: 0
# Formation energy from the elements in eV per atom: 0.148
data_PmHo7Th3
_cell_length_a 6.4299
_cell_length_b 6.6770
_cell_length_c 8.6334
_cell_angle_alpha 101.22
_cell_angle_beta 97.12
_cell_angle_gamma 96.59
_symmetry_space_group_name_H-M 'P -1'
_symmetry_Int_Tables_number 2
_symmetry_space_group_name_Hall '-P 1'
loop_
_atom_site_label
_atom_site_type_symbol
_atom_site_fract_x
_atom_site_fract_y
_atom_site_fract_z
_atom_site_occupancy
Pm1 Pm 0.0000 0.0000 0.0000 1
Ho1 Ho 0.0000 0.5000 0.0000 1
Ho2 Ho 0.0703 0.2154 0.6431 1
Ho3 Ho 0.2086 0.7315 0.7054 1
Ho4 Ho 0.4921 0.2324 0.9241 1
Th1 Th 0.3228 0.4479 0.3370 1
Th2 Th 0.5000 0.0000 0.5000 1